# Fe3Pt4Rh (PBE, relaxed)
data_Fe3Pt4Rh
_chemical_formula_sum 'Fe6 Pt8 Rh2'
_cell_length_a 8.873
_cell_length_b 5.463
_cell_length_c 4.735
_cell_angle_alpha 90.00
_cell_angle_beta 90.00
_cell_angle_gamma 90.00
_symmetry_space_group_name_H-M 'P m m a'
_symmetry_Int_Tables_number 51
loop_
_symmetry_equiv_pos_as_xyz
'x,y,z'
'-x,-y,-z'
'-x+1/2,-y,z'
'x+1/2,y,-z'
'x+1/2,-y,-z'
'-x+1/2,y,z'
'-x,y,-z'
'x,-y,z'
loop_
_atom_site_label
_atom_site_fract_x
_atom_site_fract_y
_atom_site_fract_z
Fe1 0.000 0.000 0.000
Fe2 0.250 0.000 0.327
Fe3 0.250 0.500 0.326
Pt1 0.000 0.247 0.500
Pt2 0.250 0.251 0.838
Rh1 0.000 0.500 0.000
# - DOS at the Fermi energy (states/eV/atom) = 0.6445
# - crystal system = orthorhombic
# - ΔH_f (0 K) (eV/atom) = -0.21